Record 1
# MgPt2Se

Crystalline MgPt2Se at its relaxed geometry (PBEsol, the Alexandria database).

## Properties
Space group   Pmmm (47)
Energy above the most stable polymorph in this dataset   0.037 eV/atom
Energy relative to the elements, uncorrected   -0.293 eV per atom

Lattice parameters (Å, degrees): 2.948 3.791 5.701 90.00 90.00 90.00
Sites, in units of the cell vectors:
Mg  0.000  0.000  0.000
Pt  0.500  0.500  0.246
Pt  0.500  0.500  0.754
Se  0.000  0.000  0.500



Record 2
# CuAsRh3

Crystalline CuAsRh3 at its relaxed geometry (PBEsol, the Alexandria database).

## Properties
Space group   Pm-3m (221)
ΔH_f (0 K)   0.7494 eV per atom

Lattice parameters (Å, degrees): 4.443 4.443 4.443 90.00 90.00 90.00
Sites, in units of the cell vectors:
Cu  0.000  0.000  0.000
As  0.500  0.500  0.500
Rh  0.000  0.500  0.500
Rh  0.500  0.000  0.500
Rh  0.500  0.500  0.000



Record 3
# TbB6

Crystalline TbB6 at its relaxed geometry (PBEsol, the Alexandria database).

## Properties
Space group   Pm-3m (221)
ΔH_f (0 K)   -0.4287 eV per atom

Lattice parameters (Å, degrees): 4.077 4.077 4.077 90.00 90.00 90.00
Sites, in units of the cell vectors:
Tb  0.000  0.000  0.000
B  0.199  0.500  0.500
B  0.500  0.199  0.500
B  0.500  0.500  0.199
B  0.500  0.500  0.801
B  0.500  0.801  0.500
B  0.801  0.500  0.500